# 1
## MnAs2 (PBEsol)

Data for a relaxed MnAs2 crystal.

Cell: 2.883 2.883 11.376 Å, 97.23 97.28 90.00°
Sites, in units of the cell vectors:
As  0.061  0.312  0.122
As  0.939  0.688  0.878
As  0.189  0.439  0.378
As  0.811  0.561  0.622
Mn  0.625  0.875  0.250
Mn  0.375  0.125  0.750

Computed properties:
As for the symmetry: I4_1/amd, No. 141. The value obtained for the density of states at the Fermi level is 2.34 states/eV/f.u.

# 2
## Mn2MoAs (PBEsol)

Data for a relaxed Mn2MoAs crystal.

Cell: 3.131 3.131 5.402 Å, 90.00 90.00 90.00°
Sites, in units of the cell vectors:
As  0.500  0.500  0.768
Mn  0.000  0.000  0.004
Mn  0.500  0.500  0.241
Mo  0.000  0.000  0.488

Computed properties:
As for the symmetry: P4mm, No. 99. The value obtained for the density of states at the Fermi level is 4.08 states/eV/f.u.

# 3
## MnMoAs2 (PBEsol)

Data for a relaxed MnMoAs2 crystal.

Cell: 2.844 2.844 7.650 Å, 90.00 90.00 90.00°
Sites, in units of the cell vectors:
As  0.000  0.000  0.957
As  0.500  0.500  0.324
Mn  0.000  0.000  0.504
Mo  0.500  0.500  0.714

Computed properties:
As for the symmetry: P4mm, No. 99. The value obtained for the density of states at the Fermi level is 2.72 states/eV/f.u.

# 4
## MnMoAs3 (PBEsol)

Data for a relaxed MnMoAs3 crystal.

Cell: 4.539 4.539 4.539 Å, 90.00 90.00 90.00°
Sites, in units of the cell vectors:
Mo  0.500  0.500  0.500
Mn  0.000  0.000  0.000
As  0.000  0.500  0.000
As  0.000  0.000  0.500
As  0.500  0.000  0.000

Computed properties:
As for the symmetry: Pm-3m, No. 221. The value obtained for the density of states at the Fermi level is 3.11 states/eV/f.u.

# 5
## MnMo2As (PBEsol)

Data for a relaxed MnMo2As crystal.

Cell: 2.759 2.759 7.980 Å, 90.00 90.00 108.44°
Sites, in units of the cell vectors:
As  0.000  0.000  0.485
Mn  0.500  0.500  0.259
Mo  0.000  0.000  0.012
Mo  0.500  0.500  0.744

Computed properties:
As for the symmetry: Cmm2, No. 35. The value obtained for the density of states at the Fermi level is 2.87 states/eV/f.u.

# 6
## MnMoAs4 (PBEsol)

Data for a relaxed MnMoAs4 crystal.

Cell: 5.290 5.290 5.290 Å, 60.00 60.00 60.00°
Sites, in units of the cell vectors:
As  0.375  0.375  0.375
As  0.375  0.375  0.876
As  0.876  0.375  0.375
As  0.375  0.876  0.375
Mn  0.750  0.750  0.750
Mo  0.000  0.000  0.000

Computed properties:
As for the symmetry: F-43m, No. 216. The value obtained for the density of states at the Fermi level is 3.90 states/eV/f.u.

# 7
## MnMo2As (PBEsol)

Data for a relaxed MnMo2As crystal.

Cell: 3.020 4.312 4.312 Å, 90.00 90.00 90.00°
Sites, in units of the cell vectors:
As  0.500  0.500  0.500
Mn  0.500  0.000  0.000
Mo  0.000  0.000  0.500
Mo  0.000  0.500  0.000

Computed properties:
As for the symmetry: P4/mmm, No. 123. The value obtained for the density of states at the Fermi level is 4.59 states/eV/f.u.

# 8
## Mn2MoAs (PBEsol)

Data for a relaxed Mn2MoAs crystal.

Cell: 2.695 2.695 7.619 Å, 90.00 90.00 106.49°
Sites, in units of the cell vectors:
As  0.500  0.500  0.000
Mn  0.000  0.000  0.237
Mn  0.000  0.000  0.763
Mo  0.500  0.500  0.500

Computed properties:
As for the symmetry: Cmmm, No. 65. The value obtained for the density of states at the Fermi level is 3.14 states/eV/f.u.

Energy of formation from the pure elements values, unit eV/atom, following the record order: -0.037, 0.113, -0.021, 0.868, 0.184, 0.839, 0.096, 0.199.
DFT total energy values, unit eV per atom, following the record order: -6.695, -8.986, -7.957, -6.501, -9.417, -6.153, -9.505, -8.900.